{"formula": "CoReAsOs", "functional": "GGA-PBE", "state": "relaxed", "lattice": [[0.000, 3.053, 3.053], [3.053, 0.000, 3.053], [3.053, 3.053, 0.000]], "species": ["Co", "Re", "As", "Os"], "frac_coords": [[0.000, 0.000, 0.000], [0.500, 0.500, 0.500], [0.750, 0.750, 0.750], [0.250, 0.250, 0.250]], "e_above_lowest_polymorph_ev_per_atom": 0.000, "space_group": "F-43m, No. 216", "energy_ev_per_atom": -8.346}



{"formula": "TaCoAsOs", "functional": "GGA-PBE", "state": "relaxed", "lattice": [[0.000, 3.110, 3.110], [3.110, 0.000, 3.110], [3.110, 3.110, 0.000]], "species": ["Ta", "Co", "As", "Os"], "frac_coords": [[0.000, 0.000, 0.000], [0.750, 0.750, 0.750], [0.500, 0.500, 0.500], [0.250, 0.250, 0.250]], "e_above_lowest_polymorph_ev_per_atom": 0.000, "space_group": "F-43m, No. 216", "energy_ev_per_atom": -8.603}



{"formula": "TaCoAsOs", "functional": "GGA-PBE", "state": "relaxed", "lattice": [[0.000, 3.105, 3.105], [3.105, 0.000, 3.105], [3.105, 3.105, 0.000]], "species": ["Ta", "Co", "As", "Os"], "frac_coords": [[0.000, 0.000, 0.000], [0.500, 0.500, 0.500], [0.250, 0.250, 0.250], [0.750, 0.750, 0.750]], "e_above_lowest_polymorph_ev_per_atom": 0.162, "space_group": "F-43m, No. 216", "energy_ev_per_atom": -8.442}



{"formula": "CoTcAsOs", "functional": "GGA-PBE", "state": "relaxed", "lattice": [[0.000, 3.038, 3.038], [3.038, 0.000, 3.038], [3.038, 3.038, 0.000]], "species": ["Co", "Tc", "As", "Os"], "frac_coords": [[0.000, 0.000, 0.000], [0.500, 0.500, 0.500], [0.750, 0.750, 0.750], [0.250, 0.250, 0.250]], "e_above_lowest_polymorph_ev_per_atom": 0.000, "space_group": "F-43m, No. 216", "energy_ev_per_atom": -7.958}



{"formula": "CoAsOsW", "functional": "GGA-PBE", "state": "relaxed", "lattice": [[0.000, 3.067, 3.067], [3.067, 0.000, 3.067], [3.067, 3.067, 0.000]], "species": ["Co", "As", "Os", "W"], "frac_coords": [[0.000, 0.000, 0.000], [0.750, 0.750, 0.750], [0.250, 0.250, 0.250], [0.500, 0.500, 0.500]], "e_above_lowest_polymorph_ev_per_atom": 0.000, "space_group": "F-43m, No. 216", "energy_ev_per_atom": -8.558}



{"formula": "ZnCoAsOs", "functional": "GGA-PBE", "state": "relaxed", "lattice": [[0.000, 2.978, 2.978], [2.978, 0.000, 2.978], [2.978, 2.978, 0.000]], "species": ["Zn", "Co", "As", "Os"], "frac_coords": [[0.000, 0.000, 0.000], [0.750, 0.750, 0.750], [0.500, 0.500, 0.500], [0.250, 0.250, 0.250]], "e_above_lowest_polymorph_ev_per_atom": 0.000, "space_group": "F-43m, No. 216", "energy_ev_per_atom": -5.875}



{"formula": "ZnCoAsOs", "functional": "GGA-PBE", "state": "relaxed", "lattice": [[0.000, 3.050, 3.050], [3.050, 0.000, 3.050], [3.050, 3.050, 0.000]], "species": ["Zn", "Co", "As", "Os"], "frac_coords": [[0.000, 0.000, 0.000], [0.500, 0.500, 0.500], [0.250, 0.250, 0.250], [0.750, 0.750, 0.750]], "e_above_lowest_polymorph_ev_per_atom": 0.377, "space_group": "F-43m, No. 216", "energy_ev_per_atom": -5.498}



{"formula": "Co2AsP", "functional": "GGA-PBE", "state": "relaxed", "lattice": [[5.134, 0.000, 0.000], [0.000, 3.370, 0.000], [-0.019, 0.000, 5.738]], "species": ["Co", "Co", "Co", "Co", "As", "As", "P", "P"], "frac_coords": [[0.004, 0.250, 0.318], [0.495, 0.250, 0.218], [0.505, 0.750, 0.782], [0.996, 0.750, 0.682], [0.199, 0.250, 0.912], [0.801, 0.750, 0.088], [0.303, 0.750, 0.418], [0.697, 0.250, 0.582]], "e_above_lowest_polymorph_ev_per_atom": 0.000, "space_group": "P2_1/m, No. 11", "energy_ev_per_atom": -6.501}